Computed, not measured: an optimized crystal structure of Al2Cu5Au at the GGA-PBE level of DFT.

Calculated values
* calculated formation energy: -200 meV/atom
* energy: -0.3018 Ry per atom
* total magnetic moment: 0.00 μB per formula unit

Cell: 5.380 10.638 3.729 Å, 90.00 90.00 90.00°
Atoms (fractional coordinates):
Al: 0.244 0.128 0.000
Al: 0.256 0.628 0.000
Al: 0.744 0.372 0.000
Al: 0.756 0.872 0.000
Cu: 0.000 0.000 0.500
Cu: 0.002 0.246 0.500
Cu: 0.237 0.869 0.000
Cu: 0.263 0.369 0.000
Cu: 0.498 0.746 0.500
Cu: 0.500 0.500 0.500
Cu: 0.502 0.254 0.500
Cu: 0.737 0.631 0.000
Cu: 0.763 0.131 0.000
Cu: 0.998 0.754 0.500
Au: 0.000 0.500 0.500
Au: 0.500 0.000 0.500